No. 1
Computed, not measured: an optimized crystal structure of Ho2MgHg at the PBE-GGA level of DFT.

- Theoretical density: 8.85 g/cm3
- DFT formation energy: -277 meV/atom
- Calculated volume: 104.1 Å³/cell
- DFT total energy: -12.16 eV per cell
- ΔE to the lowest computed polymorph: 8.8 meV per atom
- Symmetry: P4/mmm

Cell: 3.770 3.770 7.321 Å, 90.00 90.00 90.00°
Positions (direct):
Ho 0.000 0.000 0.245
Ho 0.000 0.000 0.755
Mg 0.500 0.500 0.500
Hg 0.500 0.500 0.000

No. 2
Computed, not measured: an optimized crystal structure of HoMgHg6 at the PBE-GGA level of DFT.

- Theoretical density: 12.26 g/cm3
- DFT formation energy: -197 meV/atom
- Calculated volume: 188.7 Å³/cell
- DFT total energy: -9.56 eV per cell
- ΔE to the lowest computed polymorph: 0.0 meV per atom
- Symmetry: Amm2

Cell: 4.953 6.481 6.481 Å, 65.09 90.00 90.00°
Positions (direct):
Ho 0.000 0.000 0.000
Mg 0.500 0.276 0.276
Hg 0.000 0.468 0.468
Hg 0.000 0.497 0.978
Hg 0.000 0.978 0.497
Hg 0.500 0.315 0.781
Hg 0.500 0.781 0.315
Hg 0.500 0.813 0.813

No. 3
Computed, not measured: an optimized crystal structure of Ho5MgHg at the PBE-GGA level of DFT.

- Theoretical density: 8.63 g/cm3
- DFT formation energy: -17 meV/atom
- Calculated volume: 404.0 Å³/cell
- DFT total energy: -49.81 eV per cell
- Symmetry: C2/c

Cell: 8.294 8.294 6.130 Å, 101.76 101.76 89.41°
Positions (direct):
Ho 0.166 0.329 0.594
Ho 0.167 0.546 0.177
Ho 0.236 0.764 0.750
Ho 0.329 0.166 0.094
Ho 0.454 0.833 0.323
Ho 0.546 0.167 0.677
Ho 0.671 0.834 0.906
Ho 0.764 0.236 0.250
Ho 0.833 0.454 0.823
Ho 0.834 0.671 0.406
Mg 0.063 0.937 0.250
Mg 0.937 0.063 0.750
Hg 0.500 0.500 0.000
Hg 0.500 0.500 0.500

No. 4
Computed, not measured: an optimized crystal structure of HoMgHg2 at the PBE-GGA level of DFT.

- Theoretical density: 10.39 g/cm3
- DFT formation energy: -392 meV/atom
- Calculated volume: 94.3 Å³/cell
- DFT total energy: -8.34 eV per cell
- ΔE to the lowest computed polymorph: 57.1 meV per atom
- Symmetry: P4/mmm

Cell: 5.039 5.039 3.715 Å, 90.00 90.00 90.00°
Positions (direct):
Ho 0.000 0.000 0.000
Mg 0.500 0.500 0.000
Hg 0.000 0.500 0.500
Hg 0.500 0.000 0.500